PBE+U Cs2NaFe2F7, relaxed; final energy = -4.868 eV/atom
1.0
-0.0724 -3.9805 1.6179
3.4911 -0.9977 -2.2986
8.3309 0.8712 8.2435
Cs Na Fe F
2 1 2 7
Cartesian
5.8069 -3.7600 2.4200 Cs
5.9427 -0.3470 5.1428 Cs
0.0000 0.0000 0.0000 Na
8.8733 -2.2137 6.3876 Fe
2.8763 -1.8933 1.1752 Fe
1.7094 -2.4891 -0.3404 F
4.0684 -1.2854 2.7228 F
7.6812 -2.8216 4.8400 F
2.7826 -3.9130 1.9096 F
4.5645 -2.4215 -0.0489 F
7.1851 -1.6855 7.6117 F
8.9670 -0.1940 5.6532 F